Fe4NiF12 | PBE+U | relaxed

Unit cell a=6.5634 b=6.5634 c=6.5634 alpha=111.11 beta=110.89 gamma=106.45
Positions (direct):
Fe  0.0000  0.0000  0.5000
Fe  0.0000  0.5000  0.0000
Fe  0.5000  0.0000  0.0000
Fe  0.5000  0.5000  0.5000
Ni  0.0000  0.0000  0.0000
F  0.0019  0.2970  0.7049
F  0.1794  0.1771  0.3565
F  0.1794  0.8229  0.0023
F  0.3066  0.0932  0.7867
F  0.3066  0.5199  0.2133
F  0.4079  0.7030  0.7049
F  0.5921  0.2970  0.2951
F  0.6934  0.4801  0.7867
F  0.6934  0.9068  0.2133
F  0.8206  0.1771  0.9977
F  0.8206  0.8229  0.6435
F  0.9981  0.7030  0.2951

Values from the calculation:
For the density of states at the Fermi level, the calculation gives 0.2939 states/eV per atom. For the energy, the calculation gives -4.490 eV/atom. The total magnetization is 2.000 μB per formula unit.